No. 1
TiGaN2F: optimized geometry, GGA-PBE.

Results
The calculation puts the distance to the lowest polymorph of the same formula at 467.7 meV per atom. Its total moment is 0.000 μB per formula unit. Its space group is No. 123. The density is 4921 kg/m3. The uncorrected formation energy comes out at -115.1 meV per atom.

Cell: 3.883 3.883 3.685 Å, 90.00 90.00 90.00°
Atoms (fractional coordinates):
Ga1 0.000 0.000 0.000
F1 0.000 0.000 0.500
N1 0.500 0.000 0.000
Ti1 0.500 0.500 0.500
N2 0.000 0.500 0.000


No. 2
TlGaN2F: optimized geometry, GGA-PBE.

Results
The calculation puts the distance to the lowest polymorph of the same formula at 715.0 meV per atom. Its total moment is 2.702 μB per formula unit. Its space group is No. 123. The density is 5928 kg/m3. The uncorrected formation energy comes out at 1000.4 meV per atom.

Cell: 4.394 4.394 4.659 Å, 90.00 90.00 90.00°
Each line ends with the local moment (μB).
Atoms (fractional coordinates):
N1 0.000 0.500 0.000  0.92
Tl1 0.000 0.000 0.000  0.00
F1 0.000 0.000 0.500  0.00
N2 0.500 0.000 0.000  0.92
Ga1 0.500 0.500 0.500  0.05


No. 3
TlGaNF2: optimized geometry, GGA-PBE.

Results
The calculation puts the distance to the lowest polymorph of the same formula at 0.0 meV per atom. Its total moment is 0.000 μB per formula unit. Its space group is No. 123. The density is 8071 kg/m3. The uncorrected formation energy comes out at -976.8 meV per atom.

Cell: 4.128 4.128 3.938 Å, 90.00 90.00 90.00°
Atoms (fractional coordinates):
F1 0.500 0.000 0.000
Ga1 0.000 0.000 0.000
F2 0.000 0.500 0.000
N1 0.000 0.000 0.500
Tl1 0.500 0.500 0.500


No. 4
TlGaNF2: optimized geometry, GGA-PBE.

Results
The calculation puts the distance to the lowest polymorph of the same formula at 646.6 meV per atom. Its total moment is 1.013 μB per formula unit. Its space group is No. 123. The density is 5944 kg/m3. The uncorrected formation energy comes out at -330.3 meV per atom.

Cell: 4.688 4.688 4.146 Å, 90.00 90.00 90.00°
Each line ends with the local moment (μB).
Atoms (fractional coordinates):
Tl1 0.000 0.000 0.000  0.00
F1 0.500 0.000 0.000  0.01
Ga1 0.500 0.500 0.500  0.01
N1 0.000 0.000 0.500  0.67
F2 0.000 0.500 0.000  0.01


No. 5
TlGaN2F: optimized geometry, GGA-PBE.

Results
The calculation puts the distance to the lowest polymorph of the same formula at 0.0 meV per atom. Its total moment is 1.192 μB per formula unit. Its space group is No. 123. The density is 8244 kg/m3. The uncorrected formation energy comes out at 285.4 meV per atom.

Cell: 4.019 4.019 4.005 Å, 90.00 90.00 90.00°
Each line ends with the local moment (μB).
Atoms (fractional coordinates):
F1 0.000 0.000 0.500  -0.01
Tl1 0.500 0.500 0.500  0.01
N1 0.500 0.000 0.000  0.42
Ga1 0.000 0.000 0.000  0.01
N2 0.000 0.500 0.000  0.42